CuTe2IN: optimized geometry, PBEsol. Values from VASP.

Properties
D(E_F) (states/eV per cell): 4.16
Total DFT energy (no corrections) (hartree per atom): -0.10989

Geometry as Quantum ESPRESSO input:
```
&SYSTEM
  ibrav = 0, nat = 5, ntyp = 4
/
ATOMIC_SPECIES
Cu 63.55 Cu.upf
Te 127.60 Te.upf
I 126.90 I.upf
N 14.01 N.upf
ATOMIC_POSITIONS crystal
Cu 0.000 0.000 0.000
Te 0.000 0.500 0.000
Te 0.500 0.000 0.000
I 0.000 0.000 0.500
N 0.500 0.500 0.500
CELL_PARAMETERS angstrom
5.054 0.000 0.000
0.000 5.054 0.000
0.000 0.000 5.325
```